Density functional theory data (PBE) for crystalline ZnMo2P at its relaxed geometry.

```
data_ZnMo2P
_space_group_name_H-M_alt 'P 1 2/m 1'
_space_group_IT_number 10
_cell_length_a 3.041
_cell_length_b 3.453
_cell_length_c 5.777
_cell_angle_alpha 90.00
_cell_angle_beta 101.16
_cell_angle_gamma 90.00
loop_
_space_group_symop_operation_xyz
'x,y,z'
'-x,-y,-z'
'-x,y,-z'
'x,-y,z'
loop_
_atom_site_label
_atom_site_fract_x
_atom_site_fract_y
_atom_site_fract_z
Zn1 0.000 0.000 0.000
Mo1 0.384 0.500 0.726
P1 0.000 0.000 0.500
```

total magnetization	0.0	μB per formula unit
E_tot	-7.071	eV per atom
distance to the lowest polymorph of the same formula	77	meV per atom
formation energy from the elements	16	meV per atom
calculated density	8.0	g cm⁻³